{
  "formula": "CaVF2",
  "functional": "GGA+U",
  "state": "relaxed",
  "cell": [[-5.360, -3.594, -0.662], [-4.377, -3.809, 2.901], [-6.214, -0.842, 1.663]],
  "species": ["Ca", "V", "F", "F"],
  "fractional_positions": [[0.500, 0.500, 0.500], [0.000, 0.000, 0.000], [0.881, 0.881, 0.881], [0.119, 0.119, 0.119]],
  "dft_energy_ev_per_cell": -21.94,
  "space_group": "R-3m",
  "e_above_lowest_polymorph_mev_per_atom": 0,
  "magmom_total_mub_per_fu": 3.954,
  "dos_ef_per_ev_cell": 1.31
}